Record 1
A relaxed structure of K3Co. Source: Alexandria via LeMat-Bulk, functional GGA-PBE.

Structure (POSCAR):
```
K3Co
1.0
5.7056 0.0000 0.0000
0.0000 5.7181 0.0000
0.0000 0.0000 5.7321
K Co
3 1
direct
0.0000 0.0000 0.0000 K
0.0000 0.5000 0.4987 K
0.5000 0.5000 0.9971 K
0.5000 0.0000 0.4997 Co
```

Properties
The value obtained for the density of states at the Fermi level is 0.618 states/eV/atom. For the total magnetization, the calculation gives 2.0 μB per formula unit. The calculation puts the calculated volume at 187 Å³/cell. For the formation enthalpy at 0 K, the calculation gives 0.783 eV/atom.

Record 2
A relaxed structure of Ce3Te2As. Source: Alexandria via LeMat-Bulk, functional GGA-PBE.

Structure (POSCAR):
```
Ce3Te2As
1.0
3.8027 -6.5880 0.0000
3.8027 6.5880 0.0000
-2.5403 0.0000 7.2434
Ce Te As
6 4 2
direct
0.0740 0.4219 0.7668 Ce
0.2271 0.2271 0.2275 Ce
0.4219 0.0740 0.7668 Ce
0.5781 0.9260 0.2332 Ce
0.7729 0.7729 0.7725 Ce
0.9260 0.5781 0.2332 Ce
0.0000 0.0000 0.5000 Te
0.3397 0.6603 0.5000 Te
0.5000 0.5000 0.0000 Te
0.6603 0.3397 0.5000 Te
0.1678 0.8322 0.0000 As
0.8322 0.1678 0.0000 As
```

Properties
The value obtained for the density of states at the Fermi level is 3.406 states/eV/atom. For the total magnetization, the calculation gives 3.2 μB per formula unit. The calculation puts the calculated volume at 363 Å³/cell. Its uncorrected formation energy is -1400 meV per atom.